DFT (PBE) results for KInTc2 after structural relaxation.

Unit cell a=2.8183 b=2.8183 c=10.4483 alpha=90.00 beta=90.00 gamma=109.68
Closest atoms and distances in Å follow each position.
Fractional coordinates of all 4 atoms:
1 K 0.0000 0.0000 0.0000  4 K 2.82
2 In 0.0000 0.0000 0.5000  4 Tc 2.80, 4 In 2.82
3 Tc 0.5000 0.5000 0.2815  2 In 2.80, 4 Tc 2.82
4 Tc 0.5000 0.5000 0.7185  2 In 2.80, 4 Tc 2.82

Values from the calculation:
E   -0.3811 Ry/atom
Fermi-level density of states   3.37 states/eV/cell
M_tot   0.0 μB per formula unit



DFT (PBE) results for KInTc2 after structural relaxation.

Unit cell a=4.7540 b=4.7540 c=4.7540 alpha=60.00 beta=60.00 gamma=60.00
Closest atoms and distances in Å follow each position.
Fractional coordinates of all 4 atoms:
1 K 0.0000 0.0000 0.0000  4 In 2.91, 4 Tc 2.91
2 In 0.7500 0.7500 0.7500  4 Tc 2.91, 4 K 2.91
3 Tc 0.2500 0.2500 0.2500  4 Tc 2.91, 4 K 2.91
4 Tc 0.5000 0.5000 0.5000  4 In 2.91, 4 Tc 2.91

Values from the calculation:
E   -0.3706 Ry/atom
Fermi-level density of states   2.69 states/eV/cell
M_tot   0.0 μB per formula unit